VASP calculation (PBE) on a geometry-optimized TcSeIN2 structure.

Cell and atoms, written as POSCAR:
```
TcSeIN2
1.0
3.935 0.000 0.000
0.000 3.935 0.000
0.000 0.000 5.679
Tc Se I N
1 1 1 2
Direct
0.000 0.000 0.000 Tc
0.000 0.000 0.500 Se
0.500 0.500 0.500 I
0.000 0.500 0.000 N
0.500 0.000 0.000 N
```

Computed properties:
Energy relative to the elements, uncorrected in kJ/mol of formula units: 369
E_tot in eV/atom: -5.65
Calculated volume in Å³/cell: 87.9



VASP calculation (PBE) on a geometry-optimized TcSeIN2 structure.

Cell and atoms, written as POSCAR:
```
TcSeIN2
1.0
3.858 0.000 0.000
0.000 3.858 0.000
0.000 0.000 7.110
Tc Se I N
1 1 1 2
Direct
0.000 0.000 0.000 Tc
0.500 0.500 0.500 Se
0.500 0.500 0.000 I
0.000 0.500 0.500 N
0.500 0.000 0.500 N
```

Computed properties:
Energy relative to the elements, uncorrected in kJ/mol of formula units: 975
E_tot in eV/atom: -4.39
Calculated volume in Å³/cell: 105.8



VASP calculation (PBE) on a geometry-optimized TcSe2IN structure.

Cell and atoms, written as POSCAR:
```
TcSe2IN
1.0
5.154 0.000 0.000
0.000 5.154 0.000
0.000 0.000 3.778
Tc Se I N
1 2 1 1
Direct
0.000 0.000 0.000 Tc
0.000 0.500 0.000 Se
0.500 0.000 0.000 Se
0.500 0.500 0.500 I
0.000 0.000 0.500 N
```

Computed properties:
Energy relative to the elements, uncorrected in kJ/mol of formula units: 188
E_tot in eV/atom: -5.05
Calculated volume in Å³/cell: 100.4



VASP calculation (PBE) on a geometry-optimized TcSeIN2 structure.

Cell and atoms, written as POSCAR:
```
TcSeIN2
1.0
3.909 0.000 0.000
0.000 3.909 0.000
0.000 0.000 6.018
Tc Se I N
1 1 1 2
Direct
0.000 0.000 0.000 Tc
0.500 0.500 0.500 Se
0.000 0.000 0.500 I
0.000 0.500 0.000 N
0.500 0.000 0.000 N
```

Computed properties:
Energy relative to the elements, uncorrected in kJ/mol of formula units: 423
E_tot in eV/atom: -5.53
Calculated volume in Å³/cell: 92.0



VASP calculation (PBE) on a geometry-optimized TeSeI2N structure.

Cell and atoms, written as POSCAR:
```
TeSeI2N
1.0
5.561 0.000 0.000
0.000 5.561 0.000
0.000 0.000 5.708
Te Se I N
1 1 2 1
Direct
0.000 0.000 0.000 Te
0.000 0.000 0.500 Se
0.000 0.500 0.500 I
0.500 0.000 0.500 I
0.500 0.500 0.000 N
```

Computed properties:
Energy relative to the elements, uncorrected in kJ/mol of formula units: 787
E_tot in eV/atom: -1.98
Calculated volume in Å³/cell: 176.5



VASP calculation (PBE) on a geometry-optimized TeSeI2N structure.

Cell and atoms, written as POSCAR:
```
TeSeI2N
1.0
6.092 0.000 0.000
0.000 6.092 0.000
0.000 0.000 5.316
Te Se I N
1 1 2 1
Direct
0.000 0.000 0.000 Te
0.000 0.000 0.500 Se
0.000 0.500 0.000 I
0.500 0.000 0.000 I
0.500 0.500 0.500 N
```

Computed properties:
Energy relative to the elements, uncorrected in kJ/mol of formula units: 568
E_tot in eV/atom: -2.43
Calculated volume in Å³/cell: 197.3



> Which of these has the lowest energy relative to the elements, uncorrected?

TcSe2IN